Ho5Th4Sc, relaxed, DFT PBE-GGA; magnetization = 0.00 μB per cell; D(E_F) = 13.57 states/eV per cell; space-group type = No. 12; E_form = 168 meV per atom; energy = -5.722 eV per atom
1.0
8.917 -1.763 0.000
8.917 1.763 0.000
-5.321 0.000 10.080
Ho Th Sc
5 4 1
Direct
0.000 0.000 0.000
0.300 0.300 0.907
0.333 0.333 0.363
0.667 0.667 0.637
0.700 0.700 0.093
0.154 0.154 0.366
0.458 0.458 0.225
0.542 0.542 0.775
0.846 0.846 0.634
0.000 0.000 0.500

HoTh5Sc, relaxed, DFT PBE-GGA; magnetization = 0.00 μB per cell; D(E_F) = 21.92 states/eV per cell; space-group type = No. 15; E_form = 236 meV per atom; energy = -6.623 eV per atom
1.0
5.681 -3.230 0.000
5.681 3.230 0.000
-2.951 0.000 12.238
Ho Th Sc
2 10 2
Direct
0.238 0.762 0.750
0.762 0.238 0.250
0.216 0.253 0.681
0.253 0.216 0.181
0.264 0.736 0.250
0.314 0.340 0.949
0.340 0.314 0.449
0.660 0.686 0.551
0.686 0.660 0.051
0.736 0.264 0.750
0.747 0.784 0.819
0.784 0.747 0.319
0.000 0.000 0.000
0.000 0.000 0.500

Ho4Th3Sc, relaxed, DFT PBE-GGA; magnetization = 0.00 μB per cell; D(E_F) = 27.51 states/eV per cell; space-group type = No. 12; relative energy among the computed polymorphs = 83 meV/atom; E_form = 133 meV per atom; energy = -5.730 eV per atom
1.0
15.501 0.000 0.000
0.000 5.761 0.000
-2.048 0.000 5.558
Ho Th Sc
8 6 2
Direct
0.130 0.000 0.185
0.249 0.000 0.798
0.251 0.500 0.202
0.370 0.500 0.815
0.630 0.500 0.185
0.749 0.500 0.798
0.751 0.000 0.202
0.870 0.000 0.815
0.000 0.500 0.000
0.118 0.500 0.591
0.382 0.000 0.409
0.500 0.000 0.000
0.618 0.000 0.591
0.882 0.500 0.409
0.000 0.000 0.500
0.500 0.500 0.500

Ho4Th3Sc, relaxed, DFT PBE-GGA; magnetization = 0.00 μB per cell; D(E_F) = 25.70 states/eV per cell; space-group type = No. 31; relative energy among the computed polymorphs = 0 meV/atom; E_form = 49 meV per atom; energy = -5.813 eV per atom
1.0
11.398 0.000 0.000
0.000 7.097 0.000
0.000 0.000 6.152
Ho Th Sc
8 6 2
Direct
0.000 0.130 0.000
0.000 0.866 0.507
0.245 0.128 0.346
0.255 0.872 0.846
0.500 0.134 0.007
0.500 0.870 0.500
0.745 0.872 0.846
0.755 0.128 0.346
0.000 0.625 0.009
0.249 0.613 0.332
0.251 0.387 0.832
0.500 0.375 0.509
0.749 0.387 0.832
0.751 0.613 0.332
0.000 0.378 0.514
0.500 0.622 0.014